DFT (PBE-GGA) results for crystalline Tc2RuSe at its relaxed geometry.

The total magnetic moment comes out at 0.00 μB/cell. The value obtained for the volume is 14.56 Å³/atom. The uncorrected formation energy comes out at 189 meV/atom.

The structure belongs to space group Imm2 (No. 44); the cell edges are 2.960, 4.415 and 8.911 Å and the angles 90.00°, 90.00° and 90.00°. The distinct sites, in fractional coordinates, are Tc at (0.000, 0.000, 0.000), Tc at (0.000, 0.500, 0.227), Ru at (0.000, 0.500, 0.777) and Se at (0.000, 0.000, 0.500).

---

DFT (PBE-GGA) results for crystalline Tc2RuSe at its relaxed geometry.

The total magnetic moment comes out at 0.00 μB/cell. The value obtained for the volume is 14.77 Å³/atom. The uncorrected formation energy comes out at 438 meV/atom.

The structure belongs to space group I4/mmm (No. 139); the cell edges are 3.812, 3.812 and 8.128 Å and the angles 90.00°, 90.00° and 90.00°. The distinct sites, in fractional coordinates, are Tc at (0.000, 0.500, 0.250), Ru at (0.000, 0.000, 0.000) and Se at (0.000, 0.000, 0.500).

---

DFT (PBE-GGA) results for crystalline Tc2RuSe at its relaxed geometry.

The total magnetic moment comes out at 0.00 μB/cell. The value obtained for the volume is 14.63 Å³/atom. The uncorrected formation energy comes out at 155 meV/atom.

The structure belongs to space group P4mm (No. 99); the cell edges are 2.925, 2.925 and 6.838 Å and the angles 90.00°, 90.00° and 90.00°. The distinct sites, in fractional coordinates, are Tc at (0.000, 0.000, 0.000), Tc at (0.500, 0.500, 0.254), Ru at (0.000, 0.000, 0.523) and Se at (0.500, 0.500, 0.759).

---

DFT (PBE-GGA) results for crystalline Tc2RuSe at its relaxed geometry.

The total magnetic moment comes out at 0.00 μB/cell. The value obtained for the volume is 14.64 Å³/atom. The uncorrected formation energy comes out at 214 meV/atom.

The structure belongs to space group Immm (No. 71); the cell edges are 2.970, 4.405 and 8.954 Å and the angles 90.00°, 90.00° and 90.00°. The distinct sites, in fractional coordinates, are Tc at (0.000, 0.000, 0.222), Ru at (0.000, 0.500, 0.000) and Se at (0.000, 0.500, 0.500).

---

DFT (PBE-GGA) results for crystalline TcRuWSe2 at its relaxed geometry.

The total magnetic moment comes out at 4.03 μB/cell. The value obtained for the volume is 22.50 Å³/atom. The uncorrected formation energy comes out at 1408 meV/atom.

The structure belongs to space group P4/mmm (No. 123); the cell edges are 4.830, 4.830 and 4.823 Å and the angles 90.00°, 90.00° and 90.00°. The distinct sites, in fractional coordinates, are Tc at (0.000, 0.000, 0.000), Ru at (0.500, 0.500, 0.000), W at (0.500, 0.500, 0.500) and Se at (0.000, 0.500, 0.500).

---

DFT (PBE-GGA) results for crystalline TeRuSe at its relaxed geometry.

As for the distance to the lowest polymorph of the same formula: 128.8 kJ/mol of formula units. The total magnetic moment comes out at 0.00 μB/cell. The value obtained for the volume is 21.82 Å³/atom. The uncorrected formation energy comes out at 78 meV/atom.

The structure belongs to space group I4mm (No. 107); the cell edges are 3.100, 3.100 and 13.624 Å and the angles 90.00°, 90.00° and 90.00°. The distinct sites, in fractional coordinates, are Te at (0.000, 0.000, 0.000), Ru at (0.000, 0.000, 0.646) and Se at (0.000, 0.000, 0.246).

---

DFT (PBE-GGA) results for crystalline Te3RuSe at its relaxed geometry.

As for the distance to the lowest polymorph of the same formula: 336.9 kJ/mol of formula units. The total magnetic moment comes out at 3.20 μB/cell. The value obtained for the volume is 31.27 Å³/atom. The uncorrected formation energy comes out at 1240 meV/atom.

The structure belongs to space group Pm-3m (No. 221); the cell edges are 5.387, 5.387 and 5.387 Å and the angles 90.00°, 90.00° and 90.00°. The distinct sites, in fractional coordinates, are Te at (0.000, 0.000, 0.500), Ru at (0.500, 0.500, 0.500) and Se at (0.000, 0.000, 0.000).

---

DFT (PBE-GGA) results for crystalline TeRuSe at its relaxed geometry.

As for the distance to the lowest polymorph of the same formula: 14.2 kJ/mol of formula units. The total magnetic moment comes out at 0.00 μB/cell. The value obtained for the volume is 21.18 Å³/atom. The uncorrected formation energy comes out at -318 meV/atom.

The structure belongs to space group Fdd2 (No. 43); the cell edges are 10.320, 12.521 and 7.867 Å and the angles 90.00°, 90.00° and 90.00°. The distinct sites, in fractional coordinates, are Te at (0.108, 0.071, 0.000), Ru at (0.005, 0.242, 0.500) and Se at (0.111, 0.062, 0.499).

---

DFT (PBE-GGA) results for crystalline TeRuSe at its relaxed geometry.

As for the distance to the lowest polymorph of the same formula: 69.4 kJ/mol of formula units. The total magnetic moment comes out at 0.00 μB/cell. The value obtained for the volume is 22.68 Å³/atom. The uncorrected formation energy comes out at -127 meV/atom.

The structure belongs to space group P3m1 (No. 156); the cell edges are 3.7036, 3.7036 and 5.7268 Å and the angles 90.00°, 90.00° and 120.00°. The distinct sites, in fractional coordinates, are Te at (0.0000, 0.0000, 0.0000), Ru at (0.3333, 0.6667, 0.2908) and Se at (0.6667, 0.3333, 0.5050).

---

DFT (PBE-GGA) results for crystalline TeRuSe at its relaxed geometry.

As for the distance to the lowest polymorph of the same formula: 76.9 kJ/mol of formula units. The total magnetic moment comes out at 0.00 μB/cell. The value obtained for the volume is 20.93 Å³/atom. The uncorrected formation energy comes out at -101 meV/atom.

The structure belongs to space group F-43m (No. 216); the cell edges are 6.310, 6.310 and 6.310 Å and the angles 90.00°, 90.00° and 90.00°. The distinct sites, in fractional coordinates, are Te at (0.000, 0.000, 0.000), Ru at (0.250, 0.250, 0.250) and Se at (0.000, 0.000, 0.500).

---

DFT (PBE-GGA) results for crystalline Te3RuSe at its relaxed geometry.

As for the distance to the lowest polymorph of the same formula: 0.0 kJ/mol of formula units. The total magnetic moment comes out at 0.00 μB/cell. The value obtained for the volume is 27.72 Å³/atom. The uncorrected formation energy comes out at 542 meV/atom.

The structure belongs to space group Pm-3m (No. 221); the cell edges are 5.175, 5.175 and 5.175 Å and the angles 90.00°, 90.00° and 90.00°. The distinct sites, in fractional coordinates, are Te at (0.000, 0.000, 0.500), Ru at (0.000, 0.000, 0.000) and Se at (0.500, 0.500, 0.500).

---

DFT (PBE-GGA) results for crystalline TeRuSe at its relaxed geometry.

As for the distance to the lowest polymorph of the same formula: 0.0 kJ/mol of formula units. The total magnetic moment comes out at 0.00 μB/cell. The value obtained for the volume is 20.24 Å³/atom. The uncorrected formation energy comes out at -367 meV/atom.

The structure belongs to space group P2_13 (No. 198); the cell edges are 6.240, 6.240 and 6.240 Å and the angles 90.00°, 90.00° and 90.00°. The distinct sites, in fractional coordinates, are Te at (0.125, 0.375, 0.625), Ru at (0.007, 0.993, 0.493) and Se at (0.122, 0.122, 0.122).

---

DFT (PBE-GGA) results for crystalline TeRuSe at its relaxed geometry.

As for the distance to the lowest polymorph of the same formula: 2.2 kJ/mol of formula units. The total magnetic moment comes out at 0.00 μB/cell. The value obtained for the volume is 21.05 Å³/atom. The uncorrected formation energy comes out at -360 meV/atom.

The structure belongs to space group P2_1/c (No. 14); the cell edges are 6.466, 6.250 and 6.476 Å and the angles 90.00°, 105.15° and 90.00°. The distinct sites, in fractional coordinates, are Te at (0.146, 0.129, 0.357), Ru at (0.259, 0.507, 0.254) and Se at (0.361, 0.630, 0.641).

---

DFT (PBE-GGA) results for crystalline Th4Te2RuSe at its relaxed geometry.

The total magnetic moment comes out at 0.00 μB/cell. The value obtained for the volume is 29.33 Å³/atom. The uncorrected formation energy comes out at -1098 meV/atom.

The structure belongs to space group P2/m (No. 10); the cell edges are 7.560, 4.164 and 7.827 Å and the angles 90.00°, 107.78° and 90.00°. The distinct sites, in fractional coordinates, are Th at (0.215, 0.000, 0.207), Th at (0.250, 0.500, 0.781), Te at (0.000, 0.000, 0.500), Te at (0.500, 0.500, 0.500), Ru at (0.000, 0.500, 0.000) and Se at (0.500, 0.000, 0.000).